[1]
Material: USBr2O6
Method: DFT, GGA-PBE
State: relaxed

Cell: 4.962 5.107 9.435 Å, 99.16 103.36 90.24°
Space group P1 (No. 1)
Asymmetric unit:
U1 0.000 0.000 0.000 [1 per cell]
S1 0.552 0.499 0.000 [1 per cell]
Br1 0.161 0.579 0.523 [1 per cell]
Br2 0.600 0.435 0.481 [1 per cell]
O1 0.062 0.987 0.192 [1 per cell]
O2 0.341 0.283 0.926 [1 per cell]
O3 0.415 0.720 0.075 [1 per cell]
O4 0.690 0.614 0.897 [1 per cell]
O5 0.776 0.378 0.103 [1 per cell]
O6 0.884 0.015 0.809 [1 per cell]

Output
* V: 22.9 A^3/atom
* total energy: -6.452 eV/atom
* formation energy from raw total energies: -1544 kJ/mol of formula units

***

[2]
Material: USBrO
Method: DFT, GGA-PBE
State: relaxed

Cell: 6.598 3.809 7.819 Å, 90.00 106.44 90.00°
Space group Cm (No. 8)
Asymmetric unit:
U1 0.000 0.000 0.000 [2 per cell]
S1 0.240 0.500 0.218 [2 per cell]
Br1 0.067 0.500 0.703 [2 per cell]
O1 0.323 0.000 0.971 [2 per cell]

Output
* V: 23.6 A^3/atom
* total energy: -7.385 eV/atom
* formation energy from raw total energies: -723 kJ/mol of formula units